1.
Ac4Cu3Ru | PBE | relaxed

CIF file:
```
data_Ac4Cu3Ru
_cell_length_a 4.198
_cell_length_b 4.596
_cell_length_c 11.415
_cell_angle_alpha 90.00
_cell_angle_beta 90.00
_cell_angle_gamma 90.00
_space_group_name_H-M_alt 'P m m 2'
_space_group_IT_number 25
loop_
_space_group_symop_operation_xyz
'x,y,z'
'-x,-y,z'
'-x,y,z'
'x,-y,z'
loop_
_atom_site_label
_atom_site_fract_x
_atom_site_fract_y
_atom_site_fract_z
_atom_site_occupancy
Ac1 0.000 0.000 0.000 1
Ac2 0.000 0.500 0.264 1
Ac3 0.500 0.000 0.476 1
Ac4 0.500 0.500 0.765 1
Cu1 0.000 0.000 0.684 1
Cu2 0.000 0.500 0.562 1
Cu3 0.500 0.500 0.063 1
Ru1 0.500 0.000 0.204 1
```

Crystal system: orthorhombic
E: -39.10 eV per formula unit
Calculated formation energy: -0.137 eV per atom

2.
K3AuI2 | PBE | relaxed

CIF file:
```
data_K3AuI2
_cell_length_a 15.795
_cell_length_b 7.067
_cell_length_c 9.939
_cell_angle_alpha 90.00
_cell_angle_beta 108.34
_cell_angle_gamma 90.00
_space_group_name_H-M_alt 'C 1 2/c 1'
_space_group_IT_number 15
loop_
_space_group_symop_operation_xyz
'x,y,z'
'-x,-y,-z'
'-x,y,-z+1/2'
'x,-y,z+1/2'
'x+1/2,y+1/2,z'
'-x+1/2,-y+1/2,-z'
'-x+1/2,y+1/2,-z+1/2'
'x+1/2,-y+1/2,z+1/2'
loop_
_atom_site_label
_atom_site_fract_x
_atom_site_fract_y
_atom_site_fract_z
_atom_site_occupancy
K1 0.000 0.001 0.250 1
K2 0.161 0.500 0.080 1
Au1 0.000 0.499 0.750 1
I1 0.168 0.000 0.084 1
```

Crystal system: monoclinic
Raw formation energy: -1.07 eV/atom
E: -16.09 eV per formula unit

3.
Ba2MgIrN | PBE | relaxed

CIF file:
```
data_Ba2MgIrN
_cell_length_a 5.962
_cell_length_b 5.962
_cell_length_c 3.821
_cell_angle_alpha 90.00
_cell_angle_beta 90.00
_cell_angle_gamma 90.00
_space_group_name_H-M_alt 'P 4/m m m'
_space_group_IT_number 123
_space_group_name_Hall '-P 4 2'
loop_
_atom_site_label
_atom_site_fract_x
_atom_site_fract_y
_atom_site_fract_z
_atom_site_occupancy
Ba1 0.000 0.500 0.000 1
Mg1 0.000 0.000 0.500 1
Ir1 0.500 0.500 0.500 1
N1 0.500 0.500 0.000 1
```

Crystal system: tetragonal
Raw formation energy: -0.31 eV/atom
E: -24.18 eV per formula unit